Version 1
Pa2VZn PBE relaxed; density = 11.96 g/cm³
1.0
4.2903 0.0000 0.0000
0.0000 4.2903 0.0000
0.0000 0.0000 4.3636
Pa V Zn
2 1 1
direct
0.0000 0.5000 0.0000 Pa
0.5000 0.0000 0.0000 Pa
0.0000 0.0000 0.5000 V
0.5000 0.5000 0.5000 Zn

---

Version 2
Pa2VZn PBE relaxed; density = 11.13 g/cm³
1.0
3.0051 0.0000 0.0000
-1.5025 2.6025 0.0000
0.0000 0.0000 33.1019
Pa V Zn
6 3 3
direct
0.0000 0.0000 0.0925 Pa
0.0000 0.0000 0.9075 Pa
0.3333 0.6667 0.5742 Pa
0.3333 0.6667 0.7591 Pa
0.6667 0.3333 0.2409 Pa
0.6667 0.3333 0.4258 Pa
0.0000 0.0000 0.5000 V
0.3333 0.6667 0.1667 V
0.6667 0.3333 0.8333 V
0.0000 0.0000 0.0000 Zn
0.3333 0.6667 0.6667 Zn
0.6667 0.3333 0.3333 Zn

---

Q: Which of them is the most stable? A: version 1.

---

Version 1
Pa3W PBE relaxed; density = 15.90 g/cm³
1.0
2.9868 0.0000 0.0000
0.0000 3.1740 0.0000
0.0000 0.0000 9.6634
Pa W
3 1
direct
0.0000 0.0000 0.0000 Pa
0.0000 0.5000 0.2753 Pa
0.5000 0.5000 0.7404 Pa
0.5000 0.0000 0.4930 W

---

Version 2
Pa3W PBE relaxed; density = 16.26 g/cm³
1.0
2.9948 0.0000 0.0000
0.0000 10.4705 0.0000
0.0000 0.0000 5.7110
Pa W
6 2
direct
0.0000 0.0000 0.0000 Pa
0.0000 0.2363 0.7536 Pa
0.0000 0.7637 0.7536 Pa
0.5000 0.2637 0.2536 Pa
0.5000 0.5000 0.5000 Pa
0.5000 0.7363 0.2536 Pa
0.0000 0.5000 0.9793 W
0.5000 0.0000 0.4793 W

---

Q: Which of them is the most stable? A: version 2.

---

Version 1
PaW2 PBE relaxed; density = 16.72 g/cm³
1.0
0.0000 3.9031 3.9031
3.9031 0.0000 3.9031
3.9031 3.9031 0.0000
Pa W
2 4
direct
0.1250 0.1250 0.1250 Pa
0.8750 0.8750 0.8750 Pa
0.0000 0.5000 0.5000 W
0.5000 0.0000 0.5000 W
0.5000 0.5000 0.0000 W
0.5000 0.5000 0.5000 W

---

Version 2
PaW2 PBE relaxed; density = 16.90 g/cm³
1.0
3.1854 0.0000 0.0000
0.0000 3.1854 0.0000
0.0000 0.0000 11.5923
Pa W
2 4
direct
0.0000 0.0000 0.0000 Pa
0.5000 0.5000 0.5000 Pa
0.0000 0.0000 0.3118 W
0.0000 0.0000 0.6882 W
0.5000 0.5000 0.1882 W
0.5000 0.5000 0.8118 W

---

Q: Which of them is the most stable? A: version 1.

---

Version 1
Y3Pa PBE relaxed; density = 6.83 g/cm³
1.0
3.4770 0.0000 0.0000
0.0000 11.3901 0.0000
0.0000 0.0000 6.1071
Y Pa
6 2
direct
0.0000 0.0000 0.0000 Y
0.0000 0.2432 0.3385 Y
0.0000 0.7568 0.3385 Y
0.5000 0.2568 0.8385 Y
0.5000 0.5000 0.5000 Y
0.5000 0.7432 0.8385 Y
0.0000 0.5000 0.9935 Pa
0.5000 0.0000 0.4935 Pa

---

Version 2
Y3Pa PBE relaxed; density = 6.82 g/cm³
1.0
3.4446 0.0000 0.0000
0.0000 5.6954 0.0000
0.0000 0.0000 6.1760
Y Pa
3 1
direct
0.0000 0.0000 0.0000 Y
0.0000 0.5000 0.3181 Y
0.5000 0.5000 0.8014 Y
0.5000 0.0000 0.4869 Pa

---

Q: Which of them is the most stable? A: version 1.